Record 1
Below is a relaxed structure of AsPt2Au, with properties calculated at the PBE-GGA level.

## Properties
The space group is Immm (71). As for the formation energy: 0.06 eV per formula unit.

Cell and atoms, written as POSCAR:
```
AsPt2Au
1.0
-1.7812 2.1947 4.3176
1.7812 -2.1947 4.3176
1.7812 2.1947 -4.3176
As Pt Au
1 2 1
direct
0.0000 0.0000 0.0000
0.2168 0.7168 0.5000
0.7832 0.2832 0.5000
0.5000 0.5000 0.0000
```

Record 2
Below is a relaxed structure of ZrRe2Se, with properties calculated at the PBE-GGA level.

## Properties
The space group is Imm2 (44). For the calculated total energy, the calculation gives -36.22 eV/cell.

Cell and atoms, written as POSCAR:
```
ZrRe2Se
1.0
-1.5856 2.3356 4.5553
1.5856 -2.3356 4.5553
1.5856 2.3356 -4.5553
Zr Re Se
1 2 1
direct
0.0000 0.0000 0.0000
0.4905 0.4905 0.0000
0.7256 0.2256 0.5000
0.2620 0.7620 0.5000
```

Record 3
Below is a relaxed structure of LaPa2N4, with properties calculated at the PBE-GGA level.

## Properties
The space group is Cmcm (63). For the calculated total energy, the calculation gives -136.88 eV/cell.

Cell and atoms, written as POSCAR:
```
LaPa2N4
1.0
1.7528 -5.8074 0.0000
1.7528 5.8074 0.0000
0.0000 0.0000 10.9680
La Pa N
2 4 8
direct
0.1091 0.8909 0.7500
0.8909 0.1091 0.2500
0.3684 0.6316 0.5703
0.3684 0.6316 0.9297
0.6316 0.3684 0.0703
0.6316 0.3684 0.4297
0.0000 0.0000 0.0000
0.0000 0.0000 0.5000
0.2694 0.7306 0.1024
0.2694 0.7306 0.3976
0.4578 0.5422 0.7500
0.5422 0.4578 0.2500
0.7306 0.2694 0.6024
0.7306 0.2694 0.8976
```

Record 4
Below is a relaxed structure of SmErBeAl, with properties calculated at the PBE-GGA level.

## Properties
The space group is F-43m (216). As for the formation energy: -0.42 eV per formula unit.

Cell and atoms, written as POSCAR:
```
SmErBeAl
1.0
0.0000 3.5473 3.5473
3.5473 0.0000 3.5473
3.5473 3.5473 0.0000
Sm Er Be Al
1 1 1 1
direct
0.0000 0.0000 0.0000
0.5000 0.5000 0.5000
0.7500 0.7500 0.7500
0.2500 0.2500 0.2500
```

Record 5
Below is a relaxed structure of La5Nd2Dy2, with properties calculated at the PBE-GGA level.

## Properties
The space group is P-1 (2). As for the formation energy: 0.18 eV per formula unit.

Cell and atoms, written as POSCAR:
```
La5Nd2Dy2
1.0
3.6890 0.0000 0.0000
0.0022 5.2204 0.0000
1.8147 2.5940 16.5289
La Nd Dy
5 2 2
direct
0.0000 0.0000 0.0000
0.2223 0.2230 0.5550
0.4419 0.4423 0.1150
0.5581 0.5577 0.8850
0.7777 0.7770 0.4450
0.1131 0.1128 0.7742
0.8869 0.8872 0.2258
0.3332 0.3329 0.3343
0.6668 0.6671 0.6657
```

The Fermi-level density of states results, record by record, are as follows: 1.24, 2.58, 4.67, 3.54, 15.97 states/eV/cell.
The magnetic moment results, record by record, are as follows: 0.00, 0.00, 0.00, 0.00, 0.00 μB/atom.